(1)
# Ba2CaNiTe

Ba2CaNiTe after structural relaxation (PBE, Alexandria).

As for the uncorrected formation energy: -2.4 eV per formula unit. The value obtained for the total energy is -3.433 eV/atom. The value obtained for the calculated volume is 187.5 Å³/f.u.

a b c (Å): 5.903 5.903 5.381
angles (deg): 90.00 90.00 90.00
Fractional coordinates of all 5 atoms:
Ni 0.000 0.000 0.000
Ca 0.000 0.000 0.500
Te 0.500 0.500 0.500
Ba 0.000 0.500 0.000
Ba 0.500 0.000 0.000

***

(2)
# Mn2SiP

Mn2SiP after structural relaxation (PBE, Alexandria).

As for the uncorrected formation energy: -1.4 eV per formula unit. The value obtained for the total energy is -7.636 eV/atom. The value obtained for the calculated volume is 44.6 Å³/f.u.

a b c (Å): 4.313 4.313 4.060
angles (deg): 74.26 74.26 38.02
Last column: magnetic moment on the atom in μB.
Fractional coordinates of all 4 atoms:
Mn 0.994 0.994 0.072  0.55
Mn 0.758 0.758 0.682  0.60
P 0.497 0.497 0.552  -0.04
Si 0.251 0.251 0.194  -0.03

***

Question: What is the formula in the first record?
Answer: Ba2CaNiTe

***

Question: Among the records above, which one has the highest calculated volume?
Answer: Ba2CaNiTe

***

Copy entry 1 word for word.
# Ba2CaNiTe

Ba2CaNiTe after structural relaxation (PBE, Alexandria).

As for the uncorrected formation energy: -2.4 eV per formula unit. The value obtained for the total energy is -3.433 eV/atom. The value obtained for the calculated volume is 187.5 Å³/f.u.

a b c (Å): 5.903 5.903 5.381
angles (deg): 90.00 90.00 90.00
Fractional coordinates of all 5 atoms:
Ni 0.000 0.000 0.000
Ca 0.000 0.000 0.500
Te 0.500 0.500 0.500
Ba 0.000 0.500 0.000
Ba 0.500 0.000 0.000

***

Question: What is the calculated volume in the first record?
Answer: 187.5 Å³/f.u.